The following is a DFT calculation (PBE with a Hubbard U) of a relaxed MnTcO4F crystal.

SG: No. 12
E_tot (eV per formula unit): -51.5

Cell: 5.7686 5.7686 8.5108 Å, 68.68 68.68 77.78°
Element x y z (fractional)
Mn 0.1647 0.1647 0.8166
Mn 0.8353 0.8353 0.1834
Tc 0.6400 0.6400 0.6924
Tc 0.3600 0.3600 0.3076
O 0.2175 0.2175 0.5343
O 0.7825 0.7825 0.4657
O 0.1330 0.5258 0.2088
O 0.5646 0.5646 0.2814
O 0.4742 0.8670 0.7912
O 0.5258 0.1330 0.2088
O 0.4354 0.4354 0.7186
O 0.8670 0.4742 0.7912
F 0.0933 0.0933 0.0839
F 0.9067 0.9067 0.9161